# 1
A relaxed Ac5Ag2Hg crystal. Source: the Alexandria database, functional PBE-GGA.

```
data_Ac5Ag2Hg
_space_group_name_H-M_alt 'P 1'
_space_group_IT_number 1
_space_group_name_Hall 'P 1'
_cell_length_a 8.1103
_cell_length_b 8.1103
_cell_length_c 10.3875
_cell_angle_alpha 112.98
_cell_angle_beta 112.98
_cell_angle_gamma 90.00
loop_
_atom_site_label
_atom_site_type_symbol
_atom_site_fract_x
_atom_site_fract_y
_atom_site_fract_z
Ac1 Ac 0.5179 0.6808 0.6987
Ac2 Ac 0.8192 0.9821 0.3013
Ac3 Ac 0.0000 0.0000 0.0000
Ac4 Ac 0.5000 0.5000 0.0000
Ac5 Ac 0.1808 0.0179 0.6987
Ac6 Ac 0.6808 0.1808 0.6987
Ac7 Ac 0.0179 0.5179 0.6987
Ac8 Ac 0.3192 0.8192 0.3013
Ac9 Ac 0.9821 0.4821 0.3013
Ac10 Ac 0.4821 0.3192 0.3013
Ag1 Ag 0.1241 0.3759 0.0000
Ag2 Ag 0.6241 0.1241 0.0000
Ag3 Ag 0.3759 0.8759 0.0000
Ag4 Ag 0.8759 0.6241 0.0000
Hg1 Hg 0.7500 0.7500 0.5000
Hg2 Hg 0.2500 0.2500 0.5000
```

Symmetry = I4/mcm, No. 140

# 2
A relaxed AcAgHg4 crystal. Source: the Alexandria database, functional PBE-GGA.

```
data_AcAgHg4
_space_group_name_H-M_alt 'P 1'
_space_group_IT_number 1
_space_group_name_Hall 'P 1'
_cell_length_a 5.1199
_cell_length_b 7.2605
_cell_length_c 8.9944
_cell_angle_alpha 90.00
_cell_angle_beta 106.54
_cell_angle_gamma 90.00
loop_
_atom_site_label
_atom_site_type_symbol
_atom_site_fract_x
_atom_site_fract_y
_atom_site_fract_z
Ac1 Ac 0.8520 0.6601 0.7040
Ac2 Ac 0.1480 0.1601 0.2960
Ag1 Ag 0.6758 0.8667 0.3517
Ag2 Ag 0.3242 0.3667 0.6483
Hg1 Hg 0.9550 0.2337 0.9099
Hg2 Hg 0.0450 0.7337 0.0901
Hg3 Hg 0.5219 0.0229 0.0438
Hg4 Hg 0.4781 0.5229 0.9562
Hg5 Hg 0.6509 0.4728 0.3017
Hg6 Hg 0.3491 0.9728 0.6983
Hg7 Hg 0.7826 0.1772 0.5651
Hg8 Hg 0.2174 0.6772 0.4349
```

Symmetry = Cmc2_1, No. 36

Computed values of formation enthalpy at 0 K (unit: eV per atom) for the preceding records, in sequence: -0.21 -0.24.
Computed values of density of states at the Fermi level (unit: states/eV/atom) for the preceding records, in sequence: 1.453 0.509.